(1)
ZnHgPb4: optimized geometry, PBE-GGA.

Structure (CIF):
```
data_ZnHgPb4
_chemical_formula_sum 'Zn4 Hg4 Pb16'
_cell_length_a 9.1655
_cell_length_b 9.1655
_cell_length_c 9.1655
_cell_angle_alpha 90.00
_cell_angle_beta 90.00
_cell_angle_gamma 90.00
_symmetry_space_group_name_H-M 'F -4 3 m'
_symmetry_Int_Tables_number 216
_symmetry_space_group_name_Hall 'F -4 2 3'
loop_
_atom_site_label
_atom_site_type_symbol
_atom_site_fract_x
_atom_site_fract_y
_atom_site_fract_z
Zn1 Zn 0.0000 0.0000 0.0000
Hg1 Hg 0.2500 0.2500 0.7500
Pb1 Pb 0.1252 0.1252 0.3748
```

Computed properties:
V (Å³ per cell): 770.0
Energy of formation from the pure elements (eV/f.u.): 1.66
DOS(E_F) (states/eV per atom): 0.580
M_tot (μB per formula unit): 0.00

***

(2)
ScGe2H2: optimized geometry, PBE-GGA.

Structure (CIF):
```
data_ScGe2H2
_chemical_formula_sum 'Sc2 Ge4 H4'
_cell_length_a 7.0564
_cell_length_b 7.0564
_cell_length_c 3.0171
_cell_angle_alpha 90.00
_cell_angle_beta 90.00
_cell_angle_gamma 90.00
_symmetry_space_group_name_H-M 'P 4/m b m'
_symmetry_Int_Tables_number 127
_symmetry_space_group_name_Hall '-P 4 2ab'
loop_
_atom_site_label
_atom_site_type_symbol
_atom_site_fract_x
_atom_site_fract_y
_atom_site_fract_z
Sc1 Sc 0.0000 0.0000 0.0000
Ge1 Ge 0.1262 0.3738 0.0000
H1 H 0.1004 0.6004 0.5000
```

Computed properties:
Relative energy among the computed polymorphs (eV per formula unit): 3.06
V (Å³ per cell): 150.2
DOS(E_F) (states/eV per atom): 0.447
M_tot (μB per formula unit): 0.00

***

(3)
Ce6Sn3H2: optimized geometry, PBE-GGA.

Structure (CIF):
```
data_Ce6Sn3H2
_chemical_formula_sum 'Ce12 Sn6 H4'
_cell_length_a 4.7004
_cell_length_b 4.7004
_cell_length_c 26.0039
_cell_angle_alpha 90.00
_cell_angle_beta 90.00
_cell_angle_gamma 90.00
_symmetry_space_group_name_H-M 'I 4/m m m'
_symmetry_Int_Tables_number 139
_symmetry_space_group_name_Hall '-I 4 2'
loop_
_atom_site_label
_atom_site_type_symbol
_atom_site_fract_x
_atom_site_fract_y
_atom_site_fract_z
Ce1 Ce 0.0000 0.0000 0.1997
Ce2 Ce 0.0000 0.5000 0.0842
Sn1 Sn 0.0000 0.0000 0.3254
Sn2 Sn 0.0000 0.0000 0.5000
H1 H 0.0000 0.0000 0.1064
```

Computed properties:
V (Å³ per cell): 574.5
DOS(E_F) (states/eV per atom): 3.136
M_tot (μB per formula unit): 7.18
E (eV per atom): -5.369

***

V of number 1 (ZnHgPb4)? 770.0 Å³ per cell

***

Which of these has the highest M_tot? Ce6Sn3H2

***

Among the records above, which one has the lowest V? ScGe2H2